# Zr5Ga3 (PBE, optimized geometry)
data_Zr5Ga3
_cell_length_a 7.2403
_cell_length_b 7.2403
_cell_length_c 12.4348
_cell_angle_alpha 90.00
_cell_angle_beta 90.00
_cell_angle_gamma 90.00
_symmetry_space_group_name_H-M 'I 4/m c m'
_symmetry_Int_Tables_number 140
_symmetry_space_group_name_Hall '-I 4 2c'
loop_
_atom_site_label
_atom_site_type_symbol
_atom_site_fract_x
_atom_site_fract_y
_atom_site_fract_z
Zr1 Zr 0.0000 0.0000 0.0000
Zr2 Zr 0.1613 0.3387 0.1530
Ga1 Ga 0.0000 0.0000 0.2500
Ga2 Ga 0.1338 0.3662 0.5000
# DFT total energy (eV per atom): -6.9453
# E_form (eV per atom): -0.47
# V (Å³ per atom): 20.37

# ScHg2Au2 (PBE, optimized geometry)
data_ScHg2Au2
_cell_length_a 7.6693
_cell_length_b 7.6693
_cell_length_c 3.6813
_cell_angle_alpha 90.00
_cell_angle_beta 90.00
_cell_angle_gamma 90.00
_symmetry_space_group_name_H-M 'P 4/m b m'
_symmetry_Int_Tables_number 127
_symmetry_space_group_name_Hall '-P 4 2ab'
loop_
_atom_site_label
_atom_site_type_symbol
_atom_site_fract_x
_atom_site_fract_y
_atom_site_fract_z
Sc1 Sc 0.0000 0.0000 0.0000
Hg1 Hg 0.1312 0.3688 0.0000
Au1 Au 0.1738 0.6738 0.5000
# DFT total energy (eV per atom): -2.7591
# E_form (eV per atom): -0.06
# V (Å³ per atom): 21.65